Material: Sr2WBrO
Method: DFT, GGA+U
State: relaxed

Output
DFT total energy	-3.26	eV/atom

abc: 5.9495 5.9495 4.4349
angles: 90.00 90.00 90.00
Positions (direct):
Sr (0.0000, 0.5000, 0.0000)
Sr (0.5000, 0.0000, 0.0000)
W (0.0000, 0.0000, 0.5000)
Br (0.5000, 0.5000, 0.0000)
O (0.5000, 0.5000, 0.5000)